Zr2H2Cl7: optimized geometry, PBE.

Calculated values
DOS(E_F) = 5.4 states/eV/cell
M_tot = 0.00 μB per cell
E = -103.2 eV per cell

a = 11.187 Å, b = 7.427 Å, c = 7.117 Å
α = 90.00°, β = 91.26°, γ = 90.00°
Space group C2/m (No. 12)
Symmetry-distinct sites (fractional):
Zr: 0.239 0.000 0.468
H: 0.000 0.051 0.000
Cl: 0.000 0.000 0.500
Cl: 0.085 0.500 0.703
Cl: 0.190 0.283 0.273